Record 1
The following is a PBE calculation of an optimized crystal structure of LiMgAs, from Alexandria.

a b c (Å): 4.702 4.702 3.796
angles (deg): 66.20 66.19 47.61
Fractional positions:
As: 0.009 0.009 0.991
Mg: 0.658 0.658 0.342
Li: 0.333 0.333 0.667

The size of the total moment comes out at 0.00 μB per formula unit. As for the crystal system: tetragonal. As for the density of states at the Fermi level: 1.2 states/eV/f.u. The value obtained for the calculated formation energy is -0.403 eV/atom.



Record 2
The following is a PBE calculation of an optimized crystal structure of K2MgSc, from Alexandria.

a b c (Å): 3.645 5.968 6.720
angles (deg): 90.00 90.00 90.00
Fractional positions:
K: 0.500 0.500 0.000
K: 0.000 0.000 0.000
Sc: 0.000 0.500 0.500
Mg: 0.500 0.000 0.500

The size of the total moment comes out at 0.00 μB per formula unit. As for the crystal system: orthorhombic. As for the density of states at the Fermi level: 4.5 states/eV/f.u. The value obtained for the calculated formation energy is 0.512 eV/atom.



Record 3
The following is a PBE calculation of an optimized crystal structure of SrYMg2, from Alexandria.

a b c (Å): 6.218 6.218 6.218
angles (deg): 133.00 133.00 68.66
Fractional positions:
Mg: 0.250 0.750 0.500
Mg: 0.000 0.000 0.000
Y: 0.750 0.250 0.500
Sr: 0.500 0.500 0.000

The size of the total moment comes out at 0.00 μB per formula unit. As for the crystal system: tetragonal. As for the density of states at the Fermi level: 4.5 states/eV/f.u. The value obtained for the calculated formation energy is 0.121 eV/atom.



Record 4
The following is a PBE calculation of an optimized crystal structure of Ce5Pu2In, from Alexandria.

a b c (Å): 6.618 6.618 6.618
angles (deg): 91.10 119.57 119.16
Site moments in Bohr magnetons follow the coordinates.
Fractional positions:
Pu: 0.278 0.778 0.500  5.31
Ce: 0.778 0.778 0.500  0.15
Ce: 0.778 0.278 0.000  0.15
Ce: 0.278 0.777 0.000  0.15
In: 0.778 0.778 0.000  -0.02
Ce: 0.277 0.278 0.500  0.15
Pu: 0.778 0.278 0.500  -5.24
Ce: 0.279 0.278 0.001  -0.16

The size of the total moment comes out at 0.58 μB per formula unit. As for the crystal system: monoclinic. As for the density of states at the Fermi level: 17.9 states/eV/f.u. The value obtained for the calculated formation energy is -0.087 eV/atom.



Record 5
The following is a PBE calculation of an optimized crystal structure of Pr4Sm3Ho2, from Alexandria.

a b c (Å): 6.309 6.309 13.118
angles (deg): 118.62 103.83 120.07
Fractional positions:
Sm: 0.553 0.110 0.665
Pr: 0.666 0.331 0.000
Pr: 0.334 0.669 0.000
Pr: 0.112 0.224 0.335
Pr: 0.888 0.776 0.665
Sm: 0.000 0.000 0.000
Ho: 0.780 0.560 0.335
Ho: 0.220 0.440 0.665
Sm: 0.447 0.890 0.335

The size of the total moment comes out at 0.00 μB per formula unit. As for the crystal system: triclinic. As for the density of states at the Fermi level: 12.9 states/eV/f.u. The value obtained for the calculated formation energy is 0.016 eV/atom.



Record 6
The following is a PBE calculation of an optimized crystal structure of Pm6NdPd3, from Alexandria.

a b c (Å): 7.351 8.967 8.967
angles (deg): 97.25 90.00 90.00
Fractional positions:
Pd: 0.376 0.432 0.568
Pd: 0.957 0.087 0.279
Pm: 0.823 0.420 0.032
Pm: 0.017 0.767 0.233
Pm: 0.323 0.580 0.968
Pm: 0.517 0.233 0.767
Pm: 0.158 0.036 0.964
Pd: 0.457 0.279 0.087
Pd: 0.957 0.721 0.913
Pd: 0.457 0.913 0.721
Pm: 0.323 0.032 0.420
Pd: 0.876 0.568 0.432
Pm: 0.823 0.968 0.580
Pm: 0.169 0.713 0.630
Pm: 0.169 0.370 0.287
Pm: 0.658 0.964 0.036
Pm: 0.669 0.630 0.713
Nd: 0.036 0.322 0.678
Pm: 0.669 0.287 0.370
Nd: 0.536 0.678 0.322

The size of the total moment comes out at 0.00 μB per formula unit. As for the crystal system: orthorhombic. As for the density of states at the Fermi level: 11.5 states/eV/f.u. The value obtained for the calculated formation energy is -0.440 eV/atom.



Record 7
The following is a PBE calculation of an optimized crystal structure of PaTcSn2, from Alexandria.

a b c (Å): 4.968 4.968 4.968
angles (deg): 60.00 60.00 60.00
Site moments in Bohr magnetons follow the coordinates.
Fractional positions:
Sn: 0.250 0.250 0.250  0.01
Sn: 0.750 0.750 0.750  0.01
Pa: 0.000 0.000 0.000  0.47
Tc: 0.500 0.500 0.500  -0.05

The size of the total moment comes out at 0.48 μB per formula unit. As for the crystal system: cubic. As for the density of states at the Fermi level: 2.6 states/eV/f.u. The value obtained for the calculated formation energy is 0.065 eV/atom.



Record 8
The following is a PBE calculation of an optimized crystal structure of LaTlZn2, from Alexandria.

a b c (Å): 4.437 4.437 6.361
angles (deg): 69.61 69.61 60.00
Fractional positions:
Zn: 0.033 0.033 0.903
Tl: 0.276 0.276 0.172
La: 0.485 0.485 0.544
Zn: 0.706 0.706 0.881

The size of the total moment comes out at 0.00 μB per formula unit. As for the crystal system: trigonal. As for the density of states at the Fermi level: 3.1 states/eV/f.u. The value obtained for the calculated formation energy is -0.254 eV/atom.



Record 9
The following is a PBE calculation of an optimized crystal structure of Mn2GeW, from Alexandria.

a b c (Å): 5.684 5.684 5.684
angles (deg): 55.39 152.26 133.07
Site moments in Bohr magnetons follow the coordinates.
Fractional positions:
Mn: 0.000 0.240 0.240  2.93
W: 0.000 0.500 0.500  -0.21
Ge: 0.000 0.000 0.000  0.01
Mn: 0.000 0.760 0.760  2.93

The size of the total moment comes out at 5.88 μB per formula unit. As for the crystal system: orthorhombic. As for the density of states at the Fermi level: 4.4 states/eV/f.u. The value obtained for the calculated formation energy is 0.670 eV/atom.



Record 10
The following is a PBE calculation of an optimized crystal structure of LaAl4Br, from Alexandria.

a b c (Å): 5.742 5.742 5.742
angles (deg): 60.00 60.00 60.00
Fractional positions:
Br: 0.750 0.750 0.750
Al: 0.373 0.373 0.373
La: 0.000 0.000 0.000
Al: 0.373 0.881 0.373
Al: 0.881 0.373 0.373
Al: 0.373 0.373 0.881

The calculation puts the uncorrected formation energy at -1.247 eV/f.u. The size of the total moment comes out at 0.00 μB per formula unit. As for the crystal system: cubic. As for the density of states at the Fermi level: 5.8 states/eV/f.u.



Record 11
The following is a PBE calculation of an optimized crystal structure of LiErHgF6, from Alexandria.

a b c (Å): 5.100 5.100 10.323
angles (deg): 90.00 90.00 90.00
Fractional positions:
Li: 0.500 0.500 0.171
Er: 0.000 0.000 0.331
F: 0.683 0.683 0.000
F: 0.817 0.183 0.500
F: 0.208 0.792 0.179
Er: 0.500 0.500 0.831
F: 0.700 0.700 0.320
Hg: 0.500 0.500 0.500
F: 0.708 0.708 0.679
F: 0.317 0.317 0.000
F: 0.792 0.208 0.179
F: 0.183 0.817 0.500
F: 0.800 0.200 0.820
F: 0.292 0.292 0.679
F: 0.300 0.300 0.320
Hg: 0.000 0.000 0.000
Li: 0.000 0.000 0.671
F: 0.200 0.800 0.820

The calculation puts the uncorrected formation energy at -26.394 eV/f.u. The size of the total moment comes out at 0.00 μB per formula unit. As for the crystal system: tetragonal. As for the density of states at the Fermi level: 0.0 states/eV/f.u.



Record 12
The following is a PBE calculation of an optimized crystal structure of TbMgZn17, from Alexandria.

a b c (Å): 6.792 6.792 6.792
angles (deg): 82.46 82.46 82.46
Fractional positions:
Zn: 0.163 0.648 0.648
Zn: 0.692 0.003 0.298
Zn: 0.692 0.298 0.003
Zn: 0.901 0.901 0.901
Zn: 0.648 0.648 0.163
Zn: 0.106 0.106 0.106
Zn: 0.298 0.003 0.692
Zn: 0.990 0.501 0.990
Zn: 0.298 0.692 0.003
Zn: 0.501 0.990 0.990
Zn: 0.003 0.298 0.692
Zn: 0.349 0.841 0.349
Mg: 0.365 0.365 0.365
Zn: 0.003 0.692 0.298
Zn: 0.648 0.163 0.648
Zn: 0.349 0.349 0.841
Zn: 0.990 0.990 0.501
Zn: 0.841 0.349 0.349
Tb: 0.662 0.662 0.662

The size of the total moment comes out at 0.00 μB per formula unit. As for the crystal system: trigonal. As for the density of states at the Fermi level: 4.4 states/eV/f.u. The value obtained for the calculated formation energy is -0.126 eV/atom.